# HfPWO2 | Alexandria via LeMat-Bulk | PBE+U | optimized geometry
# E_tot in eV per atom: -7.389
# Fermi-level density of states in states/eV/atom: 0.52
# Calculated volume in Å³/f.u.: 80.65
data_HfPWO2
_symmetry_space_group_name_H-M 'P 1'
_symmetry_Int_Tables_number 1
_cell_length_a 3.895
_cell_length_b 3.895
_cell_length_c 5.316
_cell_angle_alpha 90.00
_cell_angle_beta 90.00
_cell_angle_gamma 90.00
loop_
_symmetry_equiv_pos_as_xyz
'x,y,z'
loop_
_atom_site_label
_atom_site_type_symbol
_atom_site_fract_x
_atom_site_fract_y
_atom_site_fract_z
O1 O 0.500 0.000 0.000
Hf1 Hf 0.500 0.500 0.500
O2 O 0.000 0.500 0.000
W1 W 0.000 0.000 0.000
P1 P 0.000 0.000 0.500